1.
Pr2TmZn2 | PBE-GGA | relaxed

a b c (Å): 5.8460 5.8460 5.8460
angles (deg): 131.72 109.60 89.94
Positions (direct):
Pr: 0.1974 0.1974 0.0000
Pr: 0.8026 0.8026 0.0000
Tm: 0.5000 0.0000 0.5000
Zn: 0.2078 0.5000 0.7078
Zn: 0.7922 0.5000 0.2922

* E: -3.513 eV/atom
* formation enthalpy at 0 K: -0.198 eV per atom
* D(E_F): 1.176 states/eV/atom

***

2.
YPSe2 | PBE-GGA | relaxed

a b c (Å): 8.2275 8.2275 8.2275
angles (deg): 154.29 153.79 37.04
Positions (direct):
Y: 0.0000 0.0000 0.0000
P: 0.8514 0.3514 0.5000
Se: 0.3360 0.8360 0.5000
Se: 0.5728 0.5728 0.0000

* uncorrected formation energy: -0.918 eV/atom
* E: -5.629 eV/atom
* D(E_F): 0.449 states/eV/atom

***

3.
SmAl10Rh2 | PBE-GGA | relaxed

a b c (Å): 6.8594 6.8594 9.1963
angles (deg): 90.00 90.00 97.38
Positions (direct):
Sm: 0.1271 0.8729 0.7500
Sm: 0.8729 0.1271 0.2500
Al: 0.1413 0.4042 0.7500
Al: 0.1546 0.8454 0.1020
Al: 0.1546 0.8454 0.3980
Al: 0.2219 0.2219 0.0000
Al: 0.2219 0.2219 0.5000
Al: 0.2247 0.4806 0.2500
Al: 0.3783 0.6217 0.5513
Al: 0.3783 0.6217 0.9487
Al: 0.4042 0.1413 0.2500
Al: 0.4806 0.2247 0.7500
Al: 0.5194 0.7753 0.2500
Al: 0.5958 0.8587 0.7500
Al: 0.6217 0.3783 0.0513
Al: 0.6217 0.3783 0.4487
Al: 0.7753 0.5194 0.7500
Al: 0.7781 0.7781 0.0000
Al: 0.7781 0.7781 0.5000
Al: 0.8454 0.1546 0.6020
Al: 0.8454 0.1546 0.8980
Al: 0.8587 0.5958 0.2500
Rh: 0.0000 0.5000 0.0000
Rh: 0.0000 0.5000 0.5000
Rh: 0.5000 0.0000 0.0000
Rh: 0.5000 0.0000 0.5000

* E: -4.943 eV/atom
* formation enthalpy at 0 K: -0.570 eV per atom
* D(E_F): 0.217 states/eV/atom

***

Among the records above, which one has the lowest D(E_F)?
SmAl10Rh2